[1]
{
  "formula": "RuAuNF",
  "functional": "GGA-PBE",
  "state": "relaxed",
  "lattice": [[1.613, 0.931, 6.068], [-1.613, 0.931, 6.068], [0.000, -1.862, 6.068]],
  "species": ["Ru", "Au", "N", "F"],
  "fractional_positions": [[0.000, 0.000, 0.000], [0.554, 0.554, 0.554], [0.357, 0.357, 0.357], [0.133, 0.133, 0.133]],
  "formation_energy_uncorrected_ev_per_fu": -0.54,
  "de_polymorph_mev_per_atom": 65,
  "e_tot_ev_per_atom": -5.823,
  "sg": "R3m",
  "volume_a3_per_cell": 54.7
}


[2]
{
  "formula": "RuAuNF",
  "functional": "GGA-PBE",
  "state": "relaxed",
  "lattice": [[2.976, 0.000, 0.000], [0.000, 2.426, 4.637], [0.000, -2.426, 4.637]],
  "species": ["Ru", "Au", "N", "F"],
  "fractional_positions": [[0.000, 0.000, 0.000], [0.500, 0.510, 0.510], [0.500, 0.889, 0.889], [0.000, 0.211, 0.211]],
  "formation_energy_uncorrected_ev_per_fu": 0.03,
  "de_polymorph_mev_per_atom": 208,
  "e_tot_ev_per_atom": -5.680,
  "sg": "Amm2",
  "volume_a3_per_cell": 66.9
}


[3]
{
  "formula": "RuAuNF",
  "functional": "GGA-PBE",
  "state": "relaxed",
  "lattice": [[3.239, 0.000, 0.000], [0.000, 4.121, 0.000], [0.000, 0.000, 5.208]],
  "species": ["Ru", "Au", "N", "F"],
  "fractional_positions": [[0.000, 0.000, 0.000], [0.500, 0.000, 0.572], [0.500, 0.000, 0.164], [0.000, 0.500, 0.956]],
  "formation_energy_uncorrected_ev_per_fu": -0.27,
  "de_polymorph_mev_per_atom": 132,
  "e_tot_ev_per_atom": -5.756,
  "sg": "Pmm2",
  "volume_a3_per_cell": 69.5
}